1.
{
  "formula": "CaFe2Hg",
  "functional": "PBE",
  "state": "optimized geometry",
  "sg": "I-4m2",
  "energy_ev_per_atom": -4.3923,
  "delta_e_f_kj_per_mol_atoms": 40.0,
  "lattice": [[-2.153, 2.153, 3.976], [2.153, -2.153, 3.976], [2.153, 2.153, -3.976]],
  "species": ["Ca", "Fe", "Fe", "Hg"],
  "frac_coords": [[0.000, 0.000, 0.000], [0.250, 0.750, 0.500], [0.500, 0.500, 0.000], [0.750, 0.250, 0.500]]
}



2.
{
  "formula": "CeGaNi3",
  "functional": "PBE",
  "state": "optimized geometry",
  "sg": "Imma",
  "energy_ev_per_atom": -5.5405,
  "e_above_lowest_polymorph_ev_per_fu": 0.00,
  "delta_e_f_kj_per_mol_atoms": -27.0,
  "lattice": [[-2.599, 4.701, 3.440], [2.599, -4.701, 3.440], [2.599, 4.701, -3.440]],
  "species": ["Ce", "Ce", "Ga", "Ga", "Ni", "Ni", "Ni", "Ni", "Ni", "Ni"],
  "frac_coords": [[0.322, 0.072, 0.250], [0.678, 0.928, 0.750], [0.000, 0.500, 0.500], [0.500, 0.500, 0.000], [0.136, 0.000, 0.636], [0.136, 0.500, 0.136], [0.246, 0.496, 0.750], [0.754, 0.504, 0.250], [0.864, 0.000, 0.364], [0.864, 0.500, 0.864]]
}



3.
{
  "formula": "Cs2Rb4Mg",
  "functional": "PBE",
  "state": "optimized geometry",
  "sg": "I4/mmm",
  "energy_ev_per_atom": -0.8802,
  "delta_e_f_kj_per_mol_atoms": 13.9,
  "lattice": [[-3.719, 3.719, 12.209], [3.719, -3.719, 12.209], [3.719, 3.719, -12.209]],
  "species": ["Cs", "Cs", "Rb", "Rb", "Rb", "Rb", "Mg"],
  "frac_coords": [[0.141, 0.141, 0.000], [0.859, 0.859, 0.000], [0.000, 0.500, 0.500], [0.340, 0.340, 0.000], [0.500, 0.000, 0.500], [0.660, 0.660, 0.000], [0.500, 0.500, 0.000]]
}



4.
{
  "formula": "PrH2I",
  "functional": "PBE",
  "state": "optimized geometry",
  "sg": "R-3m",
  "energy_ev_per_atom": -4.0594,
  "e_above_lowest_polymorph_ev_per_fu": 0.13,
  "lattice": [[1.999, 1.154, 5.271], [-1.999, 1.154, 5.271], [0.000, -2.308, 5.271]],
  "species": ["Pr", "H", "H", "I"],
  "frac_coords": [[0.000, 0.000, 0.000], [0.308, 0.308, 0.308], [0.692, 0.692, 0.692], [0.500, 0.500, 0.500]]
}